Entry 1:
Here is Zn2Ir2F after structural relaxation from the Alexandria database. Energies are from PBE.

Calculated values
Formation energy (no corrections) in meV per atom: 27
Crystal system: tetragonal
Density of states at the Fermi level in states/eV/cell: 11.8
Offset from the most stable computed form in kJ per mole of atoms: 0.0
Electronic total energy in eV per atom: -4.401

Unit cell a=5.009 b=5.009 c=6.690 alpha=90.00 beta=90.00 gamma=90.00
Space group I4/mmm (No. 139)
Unique sites:
1 Zn 0.000 0.500 0.250 [4 per cell]
2 Ir 0.000 0.000 0.174 [4 per cell]
3 F 0.000 0.000 0.500 [2 per cell]

---

Entry 2:
Here is Pu4UO10 after structural relaxation from the Alexandria database. Energies are from PBE.

Calculated values
Formation energy (no corrections) in meV per atom: -3216
Crystal system: tetragonal
Density of states at the Fermi level in states/eV/cell: 33.2
Electronic total energy in eV per atom: -11.095

Unit cell a=8.531 b=8.531 c=5.395 alpha=90.00 beta=90.00 gamma=90.00
Space group I4/m (No. 87)
Unique sites:
1 Pu 0.099 0.301 0.000 [8 per cell]
2 U 0.000 0.000 0.500 [2 per cell]
3 O 0.000 0.500 0.250 [4 per cell]
4 O 0.099 0.806 0.256 [16 per cell]

---

Question: electronic total energy of number 1 (Zn2Ir2F)?
Answer: -4.401 eV per atom